No. 1
DFT (PBE-GGA) results for an optimized crystal structure of ReIr3Pt.

Calculated values
Formation energy from the elements: 1.863 eV per atom
ρ: 15.45 g cm⁻³
Calculated volume: 20.587 A^3/atom
ΔE to the lowest computed polymorph: 0.000 eV/atom
Spin magnetization: 0.0 μB/f.u.

a = 4.687 Å, b = 4.687 Å, c = 4.687 Å
α = 90.00°, β = 90.00°, γ = 90.00°
Space group Pm-3m (No. 221)
Asymmetric unit:
Re  0.000  0.000  0.000
Ir  0.000  0.000  0.500
Pt  0.500  0.500  0.500

No. 2
DFT (PBE-GGA) results for an optimized crystal structure of BaErIn2.

Calculated values
Formation energy from the elements: -0.293 eV per atom
ρ: 6.91 g cm⁻³
Calculated volume: 32.104 A^3/atom
ΔE to the lowest computed polymorph: 0.125 eV/atom
Spin magnetization: 0.0 μB/f.u.

a = 8.009 Å, b = 8.009 Å, c = 8.009 Å
α = 90.00°, β = 90.00°, γ = 90.00°
Space group Fm-3m (No. 225)
Asymmetric unit:
Ba  0.000  0.000  0.000
Er  0.000  0.000  0.500
In  0.250  0.250  0.250

No. 3
DFT (PBE-GGA) results for an optimized crystal structure of LaReC3.

Calculated values
Formation energy from the elements: 0.545 eV per atom
ρ: 8.86 g cm⁻³
Calculated volume: 13.533 A^3/atom
ΔE to the lowest computed polymorph: 0.000 eV/atom
Spin magnetization: 0.0 μB/f.u.

a = 4.075 Å, b = 4.075 Å, c = 4.075 Å
α = 90.00°, β = 90.00°, γ = 90.00°
Space group Pm-3m (No. 221)
Asymmetric unit:
La  0.000  0.000  0.000
Re  0.500  0.500  0.500
C  0.000  0.500  0.500

No. 4
DFT (PBE-GGA) results for an optimized crystal structure of Pm4PrBi5.

Calculated values
Formation energy from the elements: -0.946 eV per atom
ρ: 8.57 g cm⁻³
Calculated volume: 34.206 A^3/atom
Spin magnetization: 0.0 μB/f.u.

a = 4.592 Å, b = 4.592 Å, c = 32.444 Å
α = 90.00°, β = 90.00°, γ = 90.00°
Space group I4/mmm (No. 139)
Asymmetric unit:
Pm  0.000  0.000  0.100
Pm  0.000  0.000  0.300
Pr  0.000  0.000  0.500
Bi  0.000  0.000  0.000
Bi  0.000  0.000  0.200
Bi  0.000  0.000  0.399

No. 5
DFT (PBE-GGA) results for an optimized crystal structure of Zr2MoCl.

Calculated values
ρ: 6.49 g cm⁻³
Calculated volume: 20.071 A^3/atom
ΔE to the lowest computed polymorph: 0.360 eV/atom
Raw formation energy: -54.0 kJ/mol of formula units
Spin magnetization: 0.0 μB/f.u.

a = 3.132 Å, b = 5.215 Å, c = 5.023 Å
α = 90.00°, β = 101.87°, γ = 90.00°
Space group Pm (No. 6)
Asymmetric unit:
Zr  0.000  0.000  0.000
Zr  0.248  0.500  0.522
Mo  0.719  0.500  0.049
Cl  0.304  0.000  0.555

No. 6
DFT (PBE-GGA) results for an optimized crystal structure of ScRe2.

Calculated values
Formation energy from the elements: -0.027 eV per atom
ρ: 14.17 g cm⁻³
Calculated volume: 16.301 A^3/atom
Spin magnetization: 0.0 μB/f.u.

a = 4.562 Å, b = 13.710 Å, c = 3.128 Å
α = 90.00°, β = 90.00°, γ = 90.00°
Space group Cmcm (No. 63)
Asymmetric unit:
Sc  0.000  0.090  0.250
Re  0.000  0.260  0.750
Re  0.000  0.417  0.250

> Among the records above, which one has the highest calculated volume?

Pm4PrBi5

Repeat the second record exactly.
DFT (PBE-GGA) results for an optimized crystal structure of BaErIn2.

Calculated values
Formation energy from the elements: -0.293 eV per atom
ρ: 6.91 g cm⁻³
Calculated volume: 32.104 A^3/atom
ΔE to the lowest computed polymorph: 0.125 eV/atom
Spin magnetization: 0.0 μB/f.u.

a = 8.009 Å, b = 8.009 Å, c = 8.009 Å
α = 90.00°, β = 90.00°, γ = 90.00°
Space group Fm-3m (No. 225)
Asymmetric unit:
Ba  0.000  0.000  0.000
Er  0.000  0.000  0.500
In  0.250  0.250  0.250